Below is crystalline PWAu3 at its relaxed geometry, with properties calculated at the PBE-GGA level.

Geometry as POSCAR:
```
PWAu3
1.0
5.037 0.000 0.000
0.000 5.037 0.000
0.000 0.000 5.037
P W Au
1 1 3
Cartesian
0.000 0.000 0.000 P
2.518 2.518 2.518 W
0.000 2.518 2.518 Au
2.518 0.000 2.518 Au
2.518 2.518 0.000 Au
```

Calculated values
For the density, the calculation gives 10.47 g/cm³. The value obtained for the uncorrected energy is -3.968 eV per atom. The spin magnetization comes out at 0.1 μB per cell. The formation energy from the elements is 1.67 eV/atom.


Below is crystalline SrEu2Cd at its relaxed geometry, with properties calculated at the PBE-GGA level.

Geometry as POSCAR:
```
SrEu2Cd
1.0
4.016 0.000 0.000
0.000 4.016 0.000
0.000 0.000 9.864
Sr Eu Cd
1 2 1
Cartesian
0.000 0.000 0.000 Sr
2.008 2.008 3.053 Eu
2.008 2.008 6.811 Eu
0.000 0.000 4.932 Cd
```

Calculated values
For the density, the calculation gives 5.26 g/cm³. The value obtained for the uncorrected energy is -5.951 eV per atom. The spin magnetization comes out at 14.9 μB per cell. The formation energy from the elements is -0.16 eV/atom.


Below is crystalline RbNi3C at its relaxed geometry, with properties calculated at the PBE-GGA level.

Geometry as POSCAR:
```
RbNi3C
1.0
4.584 0.000 0.000
0.000 4.584 0.000
0.000 0.000 4.584
Rb Ni C
1 3 1
Cartesian
0.000 0.000 0.000 Rb
0.000 0.000 2.292 Ni
0.000 2.292 0.000 Ni
2.292 0.000 0.000 Ni
2.292 2.292 2.292 C
```

Calculated values
For the density, the calculation gives 4.72 g/cm³. The value obtained for the uncorrected energy is -2.105 eV per atom. The spin magnetization comes out at 1.1 μB per cell. The formation energy from the elements is 3.40 eV/atom.


Below is crystalline ErScSb2 at its relaxed geometry, with properties calculated at the PBE-GGA level.

Geometry as POSCAR:
```
ErScSb2
1.0
2.119 1.223 7.204
-2.119 1.223 7.204
0.000 -2.447 7.204
Er Sc Sb
1 1 2
Cartesian
0.000 0.000 0.000 Er
0.000 0.000 17.932 Sc
0.000 0.000 9.010 Sb
0.000 0.000 12.518 Sb
```

Calculated values
For the density, the calculation gives 6.76 g/cm³. The value obtained for the uncorrected energy is -5.690 eV per atom. The spin magnetization comes out at 0.0 μB per cell.


Below is crystalline NdThNbN3 at its relaxed geometry, with properties calculated at the PBE-GGA level.

Geometry as POSCAR:
```
NdThNbN3
1.0
7.466 0.000 0.000
0.000 3.481 0.000
0.000 0.000 8.022
Nd Th Nb N
2 2 2 6
Cartesian
0.992 0.870 2.732 Nd
6.473 2.611 5.290 Nd
2.906 2.611 5.385 Th
4.559 0.870 2.637 Th
0.929 0.870 7.470 Nb
6.536 2.611 0.553 Nb
1.036 0.870 5.301 N
1.236 2.611 0.573 N
2.911 2.611 3.129 N
4.554 0.870 4.893 N
6.230 0.870 7.450 N
6.429 2.611 2.722 N
```

Calculated values
For the density, the calculation gives 8.14 g/cm³. The value obtained for the uncorrected energy is -8.934 eV per atom. The spin magnetization comes out at 0.0 μB per cell.


Below is crystalline Ce2GaNi3 at its relaxed geometry, with properties calculated at the PBE-GGA level.

Geometry as POSCAR:
```
Ce2GaNi3
1.0
5.285 0.000 0.000
-2.643 4.577 0.000
0.000 0.000 8.098
Ce Ga Ni
4 2 6
Cartesian
0.000 3.051 0.548 Ce
0.000 3.051 3.501 Ce
2.643 1.526 4.597 Ce
2.643 1.526 7.550 Ce
0.000 0.000 0.000 Ga
0.000 0.000 4.049 Ga
0.000 1.540 6.073 Ni
-1.309 3.807 6.073 Ni
1.334 0.770 2.024 Ni
1.309 3.807 6.073 Ni
3.952 0.770 2.024 Ni
2.643 3.037 2.024 Ni
```

Calculated values
For the density, the calculation gives 8.92 g/cm³. The value obtained for the uncorrected energy is -5.852 eV per atom. The spin magnetization comes out at 0.0 μB per cell. The formation energy from the elements is -0.48 eV/atom.


Below is crystalline CaTe2HO6 at its relaxed geometry, with properties calculated at the PBE-GGA level.

Geometry as POSCAR:
```
CaTe2HO6
1.0
4.359 -5.739 0.000
4.359 5.739 0.000
-1.545 0.000 6.733
Ca Te H O
2 4 2 12
Cartesian
3.200 4.510 5.050 Ca
3.973 -4.510 1.683 Ca
1.546 1.072 4.806 Te
2.319 -1.072 1.439 Te
4.855 1.072 5.294 Te
5.627 -1.072 1.928 Te
3.973 4.401 1.683 H
3.200 -4.401 5.050 H
3.105 4.602 2.527 O
1.649 2.854 5.317 O
4.841 4.602 0.839 O
1.842 0.205 2.836 O
1.070 -0.205 6.203 O
4.752 2.854 4.782 O
2.421 -2.854 1.951 O
6.104 0.205 0.530 O
5.331 -0.205 3.897 O
2.332 -4.602 5.894 O
5.525 -2.854 1.416 O
4.069 -4.602 4.206 O
```

Calculated values
For the density, the calculation gives 3.87 g/cm³. The value obtained for the uncorrected energy is -5.416 eV per atom. The spin magnetization comes out at 0.0 μB per cell.


Below is crystalline La2Pm5Y2 at its relaxed geometry, with properties calculated at the PBE-GGA level.

Geometry as POSCAR:
```
La2Pm5Y2
1.0
8.845 -1.792 0.000
8.845 1.792 0.000
-1.679 0.000 9.816
La Pm Y
2 5 2
Cartesian
2.494 0.000 3.685 La
13.517 0.000 6.131 La
1.694 0.000 7.052 Pm
4.451 0.000 9.464 Pm
8.006 0.000 4.908 Pm
11.560 0.000 0.352 Pm
14.317 0.000 2.764 Pm
-0.255 0.000 1.654 Y
16.266 0.000 8.162 Y
```

Calculated values
For the density, the calculation gives 6.30 g/cm³. The value obtained for the uncorrected energy is -5.130 eV per atom. The spin magnetization comes out at 0.0 μB per cell. The formation energy from the elements is 0.04 eV/atom.


Below is crystalline TePb3 at its relaxed geometry, with properties calculated at the PBE-GGA level.

Geometry as POSCAR:
```
TePb3
1.0
6.957 0.000 0.000
-3.478 6.025 0.000
0.000 0.000 5.997
Te Pb
2 6
Cartesian
0.000 4.017 1.499 Te
3.478 2.008 4.498 Te
0.000 2.016 4.498 Pb
-1.732 5.017 4.498 Pb
1.746 1.008 1.499 Pb
1.732 5.017 4.498 Pb
5.211 1.008 1.499 Pb
3.478 4.009 1.499 Pb
```

Calculated values
For the density, the calculation gives 9.90 g/cm³. The value obtained for the uncorrected energy is -3.578 eV per atom. The spin magnetization comes out at 0.0 μB per cell.


Below is crystalline TmVPdRh at its relaxed geometry, with properties calculated at the PBE-GGA level.

Geometry as POSCAR:
```
TmVPdRh
1.0
0.000 3.260 3.260
3.260 0.000 3.260
3.260 3.260 0.000
Tm V Pd Rh
1 1 1 1
Cartesian
0.000 0.000 0.000 Tm
3.260 3.260 3.260 V
4.890 4.890 4.890 Pd
1.630 1.630 1.630 Rh
```

Calculated values
For the density, the calculation gives 10.29 g/cm³. The value obtained for the uncorrected energy is -6.959 eV per atom. The spin magnetization comes out at 2.3 μB per cell. The formation energy from the elements is -0.43 eV/atom.


Below is crystalline TaBeCu at its relaxed geometry, with properties calculated at the PBE-GGA level.

Geometry as POSCAR:
```
TaBeCu
1.0
1.677 -6.904 0.000
1.677 6.904 0.000
0.000 0.000 3.307
Ta Be Cu
2 2 2
Cartesian
1.677 5.581 2.480 Ta
1.677 -5.581 0.827 Ta
1.677 0.555 2.480 Be
1.677 -0.555 0.827 Be
1.677 2.861 2.480 Cu
1.677 -2.861 0.827 Cu
```

Calculated values
For the density, the calculation gives 11.00 g/cm³. The value obtained for the uncorrected energy is -6.626 eV per atom. The spin magnetization comes out at 0.0 μB per cell. The formation energy from the elements is -0.07 eV/atom.


Below is crystalline Tb2InTe at its relaxed geometry, with properties calculated at the PBE-GGA level.

Geometry as POSCAR:
```
Tb2InTe
1.0
2.026 1.170 8.480
-2.026 1.170 8.480
0.000 -2.340 8.480
Tb In Te
2 1 1
Cartesian
0.000 0.000 0.000 Tb
0.000 0.000 4.503 Tb
0.000 0.000 19.225 In
0.000 0.000 14.947 Te
```

Calculated values
For the density, the calculation gives 7.71 g/cm³. The value obtained for the uncorrected energy is -4.552 eV per atom. The spin magnetization comes out at 0.0 μB per cell.